# 1
{
  "formula": "Cs2NbB2S6",
  "functional": "PBE",
  "state": "optimized geometry",
  "cell": [[5.726, -3.301, 0.000], [5.726, 3.301, 0.000], [-3.771, 0.000, 7.544]],
  "species": ["Cs", "Cs", "Nb", "B", "B", "S", "S", "S", "S", "S", "S"],
  "fractional_positions": [[0.213, 0.213, 0.142], [0.787, 0.787, 0.858], [0.000, 0.000, 0.500], [0.393, 0.393, 0.675], [0.607, 0.607, 0.325], [0.242, 0.242, 0.699], [0.244, 0.720, 0.704], [0.280, 0.756, 0.296], [0.720, 0.244, 0.704], [0.756, 0.280, 0.296], [0.758, 0.758, 0.301]],
  "dft_energy_ev_per_atom": -5.265,
  "raw_formation_energy_mev_per_atom": -729,
  "density_g_cm3": 3.33
}

---

# 2
{
  "formula": "KSc2Os",
  "functional": "PBE",
  "state": "optimized geometry",
  "cell": [[3.278, -4.489, 0.000], [3.278, 4.489, 0.000], [-1.090, 0.000, 2.858]],
  "species": ["K", "Sc", "Sc", "Os"],
  "fractional_positions": [[0.000, 0.000, 0.000], [0.000, 0.500, 0.500], [0.500, 0.000, 0.500], [0.500, 0.500, 0.000]],
  "polymorph_energy_kj_per_mol_fu": 333.1,
  "dft_energy_ev_per_atom": -5.469,
  "formation_energy_ev_per_atom": 0.7787,
  "density_g_cm3": 6.30
}

---

# 3
{
  "formula": "LiPrPt4",
  "functional": "PBE",
  "state": "optimized geometry",
  "cell": [[0.000, 3.825, 3.825], [3.825, 0.000, 3.825], [3.825, 3.825, 0.000]],
  "species": ["Li", "Pr", "Pt", "Pt", "Pt", "Pt"],
  "fractional_positions": [[0.000, 0.000, 0.000], [0.250, 0.250, 0.250], [0.123, 0.626, 0.626], [0.626, 0.123, 0.626], [0.626, 0.626, 0.123], [0.626, 0.626, 0.626]],
  "dft_energy_ev_per_atom": -5.999,
  "formation_energy_ev_per_atom": -0.8564,
  "density_g_cm3": 13.77
}